Record 1
Computed, not measured: a relaxed La2PaHg crystal at the PBE level of DFT.

The structure in POSCAR format:
```
La2PaHg
1.0
3.535 0.000 0.000
0.000 3.535 0.000
0.000 0.000 9.357
Pa Hg La
1 1 2
Cartesian
1.767 1.767 4.679
1.767 1.767 0.000
0.000 0.000 7.047
0.000 0.000 2.310
```

Computed properties:
E above lowest polymorph   0.0 meV/atom
DFT formation energy   -100 meV/atom

=====

Record 2
Computed, not measured: a relaxed Rb3In8Ga3 crystal at the PBE level of DFT.

The structure in POSCAR format:
```
Rb3In8Ga3
1.0
-1.307 -3.504 -3.473
0.309 -8.340 4.549
-9.130 -2.011 1.715
Rb In Ga
3 8 3
Cartesian
-5.064 -6.927 1.396
-2.841 -4.901 -1.485
-7.288 -8.953 4.277
-6.831 -4.207 -0.685
-3.297 -9.648 3.476
-1.355 -7.879 0.960
-8.773 -5.976 1.832
-5.496 -10.674 1.589
-4.632 -3.181 1.203
-8.274 -8.812 0.755
-1.855 -5.043 2.037
-0.653 -1.752 -1.736
-1.327 -7.243 4.058
-7.494 -3.108 2.206
```

Computed properties:
E above lowest polymorph   3.9 meV/atom
DFT formation energy   -36 meV/atom

=====

Record 3
Computed, not measured: a relaxed Zr4Pd2O crystal at the PBE level of DFT.

The structure in POSCAR format:
```
Zr4Pd2O
1.0
4.380 0.000 0.000
0.000 4.380 0.000
2.190 2.190 6.913
O Zr Pd
1 4 2
Cartesian
0.000 0.000 0.000
2.190 2.190 4.364
4.380 4.380 2.550
0.000 2.190 0.000
2.190 0.000 0.000
2.190 2.190 1.825
4.380 4.380 5.088
```

Computed properties:
E_form (uncorrected)   -1022 meV per atom
E above lowest polymorph   127.2 meV/atom

=====

Record 4
Computed, not measured: a relaxed La5Cu2Ni5 crystal at the PBE level of DFT.

The structure in POSCAR format:
```
La5Cu2Ni5
1.0
0.514 -0.759 3.837
3.620 -6.714 0.214
7.849 4.147 1.797
La Cu Ni
5 2 5
Cartesian
5.735 -1.284 1.006
10.181 -1.529 4.417
6.113 -5.215 2.205
5.871 1.889 3.643
1.803 -1.797 1.431
7.874 -0.237 2.954
4.110 -3.089 2.894
4.031 -0.619 3.393
8.072 0.874 5.175
3.912 -4.200 0.673
7.953 -2.707 2.455
0.000 0.000 0.000
```

Computed properties:
DFT formation energy   -265 meV/atom

=====

Record 5
Computed, not measured: a relaxed InHg4Ir crystal at the PBE level of DFT.

The structure in POSCAR format:
```
InHg4Ir
1.0
0.000 4.073 4.073
4.073 0.000 4.073
4.073 4.073 0.000
In Hg Ir
1 4 1
Cartesian
6.110 6.110 6.110
3.049 5.097 5.097
5.097 5.097 3.049
5.097 3.049 5.097
3.049 3.049 3.049
0.000 0.000 0.000
```

Computed properties:
DFT formation energy   645 meV/atom

=====

Record 6
Computed, not measured: a relaxed TiCrTePS crystal at the PBE level of DFT.

The structure in POSCAR format:
```
TiCrTePS
1.0
9.487 0.000 -0.177
0.000 3.550 0.000
-1.224 0.000 6.023
Ti Cr Te P S
2 2 2 2 2
Cartesian
8.640 0.000 3.645
9.252 1.775 0.634
5.913 0.000 3.091
6.526 1.775 0.080
4.594 0.000 0.731
3.982 1.775 3.742
6.688 0.000 5.339
7.300 1.775 2.328
0.815 0.000 2.069
0.203 1.775 5.080
```

Computed properties:
E_form (uncorrected)   -733 meV per atom
E above lowest polymorph   0.0 meV/atom

=====

Record 7
Computed, not measured: a relaxed BaTa2Mo crystal at the PBE level of DFT.

The structure in POSCAR format:
```
BaTa2Mo
1.0
-3.924 3.000 0.541
-3.714 0.961 3.158
3.365 4.774 3.449
Ba Mo Ta
1 1 2
Cartesian
-2.096 4.386 3.585
-2.698 7.006 5.675
3.325 4.751 3.434
-1.576 1.733 1.477
```

Computed properties:
E above lowest polymorph   278.0 meV/atom
DFT formation energy   814 meV/atom

=====

Record 8
Computed, not measured: a relaxed CdInMo crystal at the PBE level of DFT.

The structure in POSCAR format:
```
CdInMo
1.0
-0.502 -0.988 -2.815
2.834 0.284 1.021
-0.197 -7.084 2.522
Cd In Mo
1 1 1
Cartesian
-0.194 -6.976 2.483
1.653 -2.618 0.624
0.479 -5.278 0.142
```

Computed properties:
E above lowest polymorph   0.0 meV/atom
DFT formation energy   436 meV/atom

=====

no.,N(E_F) (states/eV per atom),size of the total moment (Bohr magnetons per cell)
1,1.135,0.0
2,0.419,0.0
3,0.576,0.0
4,0.773,0.0
5,0.616,0.0
6,0.552,4.0
7,1.114,0.0
8,0.765,0.0